[1]
Tb3CeEr12: optimized geometry, GGA-PBE.

Lattice parameters (Å, degrees): 4.7194 4.7194 23.4986 90.00 90.00 90.00
Space group P4/mmm (No. 123)
Inequivalent atoms, fractional coordinates:
Tb  0.0000  0.0000  0.0000
Tb  0.0000  0.0000  0.3630
Ce  0.0000  0.0000  0.5000
Er  0.0000  0.5000  0.1094
Er  0.0000  0.5000  0.2534
Er  0.5000  0.5000  0.0000
Er  0.5000  0.5000  0.3581
Er  0.5000  0.5000  0.5000

Output
Energy relative to the elements: 0.3442 eV/atom
Magnetization: 2.10 μB per formula unit
Electronic total energy: -0.1586 hartree per atom

=====

[2]
TbTiAgHg: optimized geometry, GGA-PBE.

Lattice parameters (Å, degrees): 7.0514 7.0514 7.0514 90.00 90.00 90.00
Space group F-43m (No. 216)
Inequivalent atoms, fractional coordinates:
Tb  0.0000  0.0000  0.0000
Ti  0.0000  0.0000  0.5000
Ag  0.2500  0.2500  0.7500
Hg  0.2500  0.2500  0.2500

Output
Energy relative to the elements: -0.0984 eV/atom
Magnetization: 1.81 μB per formula unit
Electronic total energy: -0.1477 hartree per atom

=====

[3]
Cs2SmPtO4: optimized geometry, GGA-PBE.

Lattice parameters (Å, degrees): 6.2846 14.5923 24.8049 90.00 90.00 90.00
Space group Fddd (No. 70, origin choice 2)
Inequivalent atoms, fractional coordinates:
Cs  0.1250  0.1250  0.3112
Sm  0.1250  0.1250  0.1250
Pt  0.1250  0.1250  0.6250
O  0.1030  0.2778  0.8731

Output
Formation energy from raw total energies: -1397 meV/atom
Magnetization: 1.01 μB per formula unit
Electronic total energy: -0.1997 hartree per atom

=====

[4]
Nb3CuSn: optimized geometry, GGA-PBE.

Lattice parameters (Å, degrees): 5.0374 5.0374 5.0374 90.00 90.00 90.00
Space group Pm-3m (No. 221)
Inequivalent atoms, fractional coordinates:
Nb  0.0000  0.0000  0.5000
Cu  0.5000  0.5000  0.5000
Sn  0.0000  0.0000  0.0000

Output
Energy relative to the elements: 1.8892 eV/atom
E above lowest polymorph: 1.133 eV per atom
Magnetization: 0.00 μB per formula unit
Electronic total energy: -0.2121 hartree per atom

=====

[5]
Mg14FeCu: optimized geometry, GGA-PBE.

Lattice parameters (Å, degrees): 6.1838 6.1838 9.9864 90.00 90.00 120.00
Space group P-6m2 (No. 187)
Inequivalent atoms, fractional coordinates:
Mg  0.0000  0.0000  0.2489
Mg  0.0135  0.5067  0.2488
Mg  0.3326  0.1663  0.5000
Mg  0.3339  0.1669  0.0000
Fe  0.3333  0.6667  0.0000
Cu  0.3333  0.6667  0.5000

Output
Energy relative to the elements: 0.0711 eV/atom
Magnetization: 2.72 μB per formula unit
Electronic total energy: -0.0775 hartree per atom

=====

[6]
TaSbTe2: optimized geometry, GGA-PBE.

Lattice parameters (Å, degrees): 3.6529 5.1195 5.6866 90.00 108.08 90.00
Space group Pm (No. 6)
Inequivalent atoms, fractional coordinates:
Ta  0.0000  0.0000  0.0000
Sb  0.4088  0.5000  0.8139
Te  0.1159  0.5000  0.2461
Te  0.7078  0.0000  0.4267

Output
Formation energy from raw total energies: 301 meV/atom
Magnetization: 0.00 μB per formula unit
Electronic total energy: -0.1934 hartree per atom

=====

[7]
KPrRu2O8: optimized geometry, GGA-PBE.

Lattice parameters (Å, degrees): 6.0585 6.0585 7.7980 90.00 90.00 120.00
Space group P-3 (No. 147)
Inequivalent atoms, fractional coordinates:
K  0.0000  0.0000  0.0000
Pr  0.0000  0.0000  0.5000
Ru  0.3333  0.6667  0.7778
O  0.1685  0.3439  0.6967
O  0.3333  0.6667  0.0019

Output
Formation energy from raw total energies: -1448 meV/atom
Magnetization: 4.03 μB per formula unit
Electronic total energy: -0.2495 hartree per atom

=====

[8]
Sr3CaSi: optimized geometry, GGA-PBE.

Lattice parameters (Å, degrees): 6.3428 6.3428 6.3428 90.00 90.00 90.00
Space group Pm-3m (No. 221)
Inequivalent atoms, fractional coordinates:
Sr  0.0000  0.0000  0.5000
Ca  0.0000  0.0000  0.0000
Si  0.5000  0.5000  0.5000

Output
Formation energy from raw total energies: 1067 meV/atom
E above lowest polymorph: 1.128 eV per atom
Magnetization: 1.87 μB per formula unit
Electronic total energy: -0.0524 hartree per atom

=====

[9]
Ac5TmMg4: optimized geometry, GGA-PBE.

Lattice parameters (Å, degrees): 4.0985 4.0985 21.1192 90.00 90.00 90.00
Space group P4/mmm (No. 123)
Inequivalent atoms, fractional coordinates:
Ac  0.0000  0.0000  0.0000
Ac  0.0000  0.0000  0.1957
Ac  0.0000  0.0000  0.3912
Tm  0.5000  0.5000  0.5000
Mg  0.5000  0.5000  0.0976
Mg  0.5000  0.5000  0.2949

Output
Energy relative to the elements: -0.0441 eV/atom
Magnetization: 0.00 μB per formula unit
Electronic total energy: -0.1170 hartree per atom

=====

[10]
LaNd3Ga4: optimized geometry, GGA-PBE.

Lattice parameters (Å, degrees): 10.5107 7.4376 5.2555 90.00 90.00 90.00
Space group Pmma (No. 51)
Inequivalent atoms, fractional coordinates:
La  0.0000  0.0000  0.0000
Nd  0.0000  0.5000  0.0000
Nd  0.2500  0.0000  0.4985
Nd  0.2500  0.5000  0.4985
Ga  0.0000  0.2547  0.5000
Ga  0.2500  0.2547  0.9980

Output
Energy relative to the elements: -0.5563 eV/atom
E above lowest polymorph: 0.000 eV per atom
Magnetization: 0.00 μB per formula unit
Electronic total energy: -0.1644 hartree per atom

=====

[11]
Na4Ir3RhSe8: optimized geometry, GGA-PBE.

Lattice parameters (Å, degrees): 7.6961 7.6961 19.7131 90.00 90.00 120.00
Space group R-3m (No. 166, hexagonal axes)
Inequivalent atoms, fractional coordinates:
Na  0.0000  0.0000  0.0000
Na  0.0000  0.5000  0.0000
Ir  0.0000  0.5000  0.5000
Rh  0.0000  0.0000  0.5000
Se  0.0000  0.0000  0.2287
Se  0.0007  0.5004  0.7710

Output
Formation energy from raw total energies: -603 meV/atom
Magnetization: 0.00 μB per formula unit
Electronic total energy: -0.1763 hartree per atom

=====

[12]
AgPd5Pt: optimized geometry, GGA-PBE.

Lattice parameters (Å, degrees): 9.5067 5.1916 9.6645 90.00 100.50 90.00
Space group C2/c (No. 15)
Inequivalent atoms, fractional coordinates:
Ag  0.0000  0.2085  0.2500
Pd  0.0000  0.2877  0.7500
Pd  0.1446  0.0397  0.5412
Pd  0.2380  0.4461  0.1839
Pt  0.0000  0.5000  0.0000

Output
Energy relative to the elements: 0.2053 eV/atom
E above lowest polymorph: 0.068 eV per atom
Magnetization: 0.00 μB per formula unit
Electronic total energy: -0.1754 hartree per atom